Density functional theory data (PBE+U) for an optimized crystal structure of SmV2BiO8.

Calculated values
As for the density: 4.8 g/cm³. The spin magnetization comes out at 0.0 μB per cell. The energy relative to the lowest polymorph listed for this composition comes out at 128 meV/atom.

a b c (Å): 5.8516 5.8516 6.8166
angles (deg): 90.00 90.00 120.00
Space group P-3m1 (No. 164)
Inequivalent atoms, fractional coordinates:
Sm  0.0000  0.0000  0.0000 x1
V  0.3333  0.6667  0.3176 x2
Bi  0.0000  0.0000  0.5000 x1
O  0.1648  0.3295  0.2404 x6
O  0.3333  0.6667  0.5589 x2